! PBE-GGA CaPuZnPt, relaxed; values from VASP
&SYSTEM
  ibrav = 0, nat = 4, ntyp = 4
/
ATOMIC_SPECIES
Pt 195.08 Pt.upf
Pu 244.00 Pu.upf
Ca 40.08 Ca.upf
Zn 65.41 Zn.upf
CELL_PARAMETERS angstrom
-1.292 2.902 -3.885
-4.831 1.074 -0.832
-1.710 4.650 0.800
ATOMIC_POSITIONS crystal
Pt 0.500 0.500 0.500
Pu 0.250 0.250 0.250
Ca 0.750 0.750 0.750
Zn 0.000 0.000 0.000
! Formation energy ... -448.3 meV per atom
! Calculated volume ... 89 Å³/f.u.



! PBE-GGA Be2InSeO6, relaxed; values from VASP
&SYSTEM
  ibrav = 0, nat = 20, ntyp = 4
/
ATOMIC_SPECIES
In 114.82 In.upf
Be 9.01 Be.upf
O 16.00 O.upf
Se 78.96 Se.upf
CELL_PARAMETERS angstrom
-4.238 3.681 -0.444
-5.536 -2.658 2.670
-0.298 3.721 5.560
ATOMIC_POSITIONS crystal
In 0.250 0.903 0.097
Be 0.340 0.767 0.630
O 0.881 0.376 0.802
O 0.679 0.710 0.584
Be 0.660 0.233 0.370
Se 0.750 0.701 0.299
In 0.750 0.097 0.903
O 0.179 0.584 0.710
Be 0.840 0.630 0.767
Se 0.250 0.299 0.701
O 0.381 0.802 0.376
O 0.679 0.786 0.957
O 0.619 0.198 0.624
O 0.821 0.416 0.290
Be 0.160 0.370 0.233
O 0.821 0.043 0.214
O 0.119 0.624 0.198
O 0.179 0.957 0.786
O 0.321 0.290 0.416
O 0.321 0.214 0.043
! Formation energy (no corrections) ... -1.54 eV/atom
! Calculated volume ... 112 Å³/f.u.



! PBE-GGA HoIn3Rh, relaxed; values from VASP
&SYSTEM
  ibrav = 0, nat = 10, ntyp = 3
/
ATOMIC_SPECIES
In 114.82 In.upf
Rh 102.91 Rh.upf
Ho 164.93 Ho.upf
CELL_PARAMETERS angstrom
6.848 -0.068 -0.302
-1.940 6.568 0.302
-2.975 -2.857 5.506
ATOMIC_POSITIONS crystal
In 0.698 0.426 0.124
In 0.768 0.506 0.656
In 0.150 0.887 0.656
Rh 0.636 0.742 0.378
Ho 0.271 0.948 0.219
In 0.302 0.574 0.876
Ho 0.729 0.052 0.781
Rh 0.364 0.258 0.622
In 0.232 0.494 0.344
In 0.850 0.113 0.344
! Formation energy ... -336.0 meV per atom
! Calculated volume ... 123 Å³/f.u.



! PBE-GGA ErMg3Sc3, relaxed; values from VASP
&SYSTEM
  ibrav = 0, nat = 14, ntyp = 3
/
ATOMIC_SPECIES
Mg 24.30 Mg.upf
Sc 44.96 Sc.upf
Er 167.26 Er.upf
CELL_PARAMETERS angstrom
-4.843 -1.753 -1.155
0.977 2.717 -8.217
2.392 -8.078 2.233
ATOMIC_POSITIONS crystal
Mg 0.750 0.910 0.380
Sc 0.250 0.805 0.770
Mg 0.250 0.529 0.910
Mg 0.750 0.471 0.090
Sc 0.750 0.770 0.965
Mg 0.250 0.090 0.620
Sc 0.250 0.230 0.035
Mg 0.750 0.620 0.529
Er 0.750 0.334 0.667
Sc 0.750 0.195 0.230
Mg 0.250 0.380 0.471
Sc 0.250 0.965 0.195
Sc 0.750 0.035 0.805
Er 0.250 0.666 0.333
! Formation energy ... 13.4 meV per atom
! Calculated volume ... 173 Å³/f.u.



! PBE-GGA Rb2YPF, relaxed; values from VASP
&SYSTEM
  ibrav = 0, nat = 5, ntyp = 4
/
ATOMIC_SPECIES
P 30.97 P.upf
Y 88.91 Y.upf
Rb 85.47 Rb.upf
F 19.00 F.upf
CELL_PARAMETERS angstrom
-2.698 -3.919 -1.637
0.045 -2.091 4.932
-4.247 2.471 1.086
ATOMIC_POSITIONS crystal
P 0.500 0.500 0.500
Y 0.000 0.500 0.000
Rb 0.000 0.000 0.500
Rb 0.500 0.000 0.000
F 0.000 0.000 0.000
! Formation energy (no corrections) ... -0.79 eV/atom
! Calculated volume ... 136 Å³/f.u.



! PBE-GGA NaTmCd, relaxed; values from VASP
&SYSTEM
  ibrav = 0, nat = 6, ntyp = 3
/
ATOMIC_SPECIES
Na 22.99 Na.upf
Tm 168.93 Tm.upf
Cd 112.41 Cd.upf
CELL_PARAMETERS angstrom
-2.148 -3.127 -2.799
3.178 0.977 0.440
1.813 -10.597 10.445
ATOMIC_POSITIONS crystal
Na 0.695 0.389 0.341
Tm 0.194 0.388 0.856
Cd 0.195 0.391 0.500
Cd 0.694 0.388 0.000
Na 0.695 0.389 0.659
Tm 0.194 0.388 0.144
! Formation energy ... 11.7 meV per atom
! Offset from the most stable computed form ... 0.00 eV/f.u.
! Calculated volume ... 84 Å³/f.u.



! PBE-GGA LiHf2AlN, relaxed; values from VASP
&SYSTEM
  ibrav = 0, nat = 5, ntyp = 4
/
ATOMIC_SPECIES
Al 26.98 Al.upf
N 14.01 N.upf
Li 6.94 Li.upf
Hf 178.49 Hf.upf
CELL_PARAMETERS angstrom
-2.665 1.941 2.892
-3.332 -2.480 -1.407
0.938 -2.826 2.762
ATOMIC_POSITIONS crystal
Al 0.500 0.500 0.500
N 0.000 0.000 0.000
Li 0.000 0.000 0.500
Hf 0.500 0.000 0.000
Hf 0.000 0.500 0.000
! Formation energy (no corrections) ... -0.76 eV/atom
! Calculated volume ... 78 Å³/f.u.



! PBE-GGA YSb2SeI, relaxed; values from VASP
&SYSTEM
  ibrav = 0, nat = 5, ntyp = 4
/
ATOMIC_SPECIES
Sb 121.76 Sb.upf
Y 88.91 Y.upf
I 126.90 I.upf
Se 78.96 Se.upf
CELL_PARAMETERS angstrom
-4.073 -3.219 -1.370
2.997 -4.295 1.182
-1.907 0.140 5.342
ATOMIC_POSITIONS crystal
Sb 0.000 0.500 0.000
Y 0.500 0.500 0.500
I 0.000 0.000 0.500
Sb 0.500 0.000 0.000
Se 0.000 0.000 0.000
! Formation energy (no corrections) ... 0.18 eV/atom
! Offset from the most stable computed form ... 0.00 eV/f.u.
! Calculated volume ... 164 Å³/f.u.



! PBE-GGA NbV3Pb, relaxed; values from VASP
&SYSTEM
  ibrav = 0, nat = 5, ntyp = 3
/
ATOMIC_SPECIES
Nb 92.91 Nb.upf
V 50.94 V.upf
Pb 207.20 Pb.upf
CELL_PARAMETERS angstrom
4.957 0.000 0.000
0.000 4.957 0.000
0.000 0.000 4.957
ATOMIC_POSITIONS crystal
Nb 0.500 0.500 0.500
V 0.500 0.000 0.000
Pb 0.000 0.000 0.000
V 0.000 0.500 0.000
V 0.000 0.000 0.500
! Formation energy ... 2028.0 meV per atom
! Offset from the most stable computed form ... 3.78 eV/f.u.
! Calculated volume ... 122 Å³/f.u.



! PBE-GGA PmNdNpO6, relaxed; values from VASP
&SYSTEM
  ibrav = 0, nat = 18, ntyp = 4
/
ATOMIC_SPECIES
Np 237.00 Np.upf
O 16.00 O.upf
Nd 144.24 Nd.upf
Pm 145.00 Pm.upf
CELL_PARAMETERS angstrom
-4.079 -2.697 3.337
5.751 -1.067 0.915
0.343 7.183 6.226
ATOMIC_POSITIONS crystal
Np 0.667 0.333 0.250
O 0.635 0.962 0.866
Nd 0.667 0.333 0.750
O 0.328 0.365 0.866
Pm 0.000 0.000 0.000
O 0.328 0.962 0.634
O 0.672 0.038 0.366
O 0.038 0.365 0.634
O 0.635 0.672 0.634
O 0.365 0.038 0.134
Nd 0.333 0.667 0.250
O 0.038 0.672 0.866
O 0.962 0.635 0.366
Np 0.333 0.667 0.750
O 0.962 0.328 0.134
O 0.672 0.635 0.134
Pm 0.000 0.000 0.500
O 0.365 0.328 0.366
! Formation energy (no corrections) ... -3.12 eV/atom
! Calculated volume ... 144 Å³/f.u.



! PBE-GGA LiCu2PO4, relaxed; values from VASP
&SYSTEM
  ibrav = 0, nat = 16, ntyp = 4
/
ATOMIC_SPECIES
Cu 63.55 Cu.upf
O 16.00 O.upf
P 30.97 P.upf
Li 6.94 Li.upf
CELL_PARAMETERS angstrom
5.147 0.099 0.049
0.142 5.820 -0.084
0.067 -0.015 6.201
ATOMIC_POSITIONS crystal
Cu 0.969 0.401 0.691
O 0.566 0.291 0.713
P 0.477 0.187 0.491
O 0.137 0.712 0.794
Li 0.483 0.141 0.996
Cu 0.564 0.649 0.370
O 0.581 0.329 0.294
Li 0.992 0.325 0.233
P 0.000 0.841 0.997
O 0.063 0.675 0.188
Cu 0.562 0.617 0.795
O 0.176 0.185 0.490
Cu 0.071 0.758 0.489
O 0.108 0.081 0.026
O 0.608 0.947 0.467
O 0.701 0.861 0.966
! Formation energy (no corrections) ... -1.52 eV/atom
! Offset from the most stable computed form ... 0.00 eV/f.u.
! Calculated volume ... 93 Å³/f.u.



! PBE-GGA InHg4Ru, relaxed; values from VASP
&SYSTEM
  ibrav = 0, nat = 6, ntyp = 3
/
ATOMIC_SPECIES
Hg 200.59 Hg.upf
In 114.82 In.upf
Ru 101.07 Ru.upf
CELL_PARAMETERS angstrom
0.735 -5.611 1.234
-4.556 -3.577 0.043
-0.595 -3.983 -4.163
ATOMIC_POSITIONS crystal
Hg 0.374 0.374 0.877
Hg 0.374 0.877 0.374
In 0.750 0.750 0.750
Hg 0.374 0.374 0.374
Hg 0.877 0.374 0.374
Ru 0.000 0.000 0.000
! Formation energy ... 663.5 meV per atom
! Calculated volume ... 137 Å³/f.u.



Number 1: VASP energy -6.36 eV/atom, magnetization 5.6 μB/f.u.. Number 2: VASP energy -5.88 eV/atom, magnetization 0.7 μB/f.u.. Number 3: VASP energy -4.36 eV/atom, magnetization 0.0 μB/f.u.. Number 4: VASP energy -4.04 eV/atom, magnetization 0.2 μB/f.u.. Number 5: VASP energy -3.93 eV/atom, magnetization 0.9 μB/f.u.. Number 6: VASP energy -2.22 eV/atom, magnetization 0.0 μB/f.u.. Number 7: VASP energy -7.54 eV/atom, magnetization 0.0 μB/f.u.. Number 8: VASP energy -3.77 eV/atom, magnetization 0.0 μB/f.u.. Number 9: VASP energy -6.20 eV/atom, magnetization 5.9 μB/f.u.. Number 10: VASP energy -8.92 eV/atom, magnetization 1.0 μB/f.u.. Number 11: VASP energy -5.94 eV/atom, magnetization 0.0 μB/f.u.. Number 12: VASP energy -1.54 eV/atom, magnetization 1.2 μB/f.u..